Computed, not measured: a relaxed structure of V4HgO10 at the PBE+U level of DFT.

- mass density (g cm⁻³) = 4.50
- calculated total energy (eV per atom) = -6.99

Cell lengths 22.994, 3.681, 9.843 Å; angles 90.00, 92.59, 90.00 degrees
Space group C2/m (No. 12)
Inequivalent atoms, fractional coordinates:
1 V 0.105 0.000 0.442 x4
2 V 0.123 0.500 0.697 x4
3 V 0.187 0.500 0.034 x4
4 V 0.242 0.000 0.267 x4
5 Hg 0.016 0.000 0.127 x4
6 O 0.044 0.000 0.339 x4
7 O 0.064 0.500 0.782 x4
8 O 0.100 0.500 0.499 x4
9 O 0.119 0.500 0.069 x4
10 O 0.127 0.000 0.644 x4
11 O 0.162 0.000 0.342 x4
12 O 0.181 0.500 0.835 x4
13 O 0.209 0.000 0.039 x4
14 O 0.217 0.500 0.593 x4
15 O 0.228 0.500 0.213 x4